Here is a relaxed Hf6In2Os crystal from the Alexandria database. Energies are from PBE.

It has space group Immm (No. 71), with a = 4.747 Å, b = 6.573 Å, c = 14.029 Å, α = 90.00°, β = 90.00° and γ = 90.00°. The inequivalent atoms are Hf at (0.000, 0.236, 0.000), Hf at (0.000, 0.258, 0.349), In at (0.000, 0.500, 0.174) and Os at (0.000, 0.500, 0.500).

For the size of the total moment, the calculation gives 0.0 μB/cell. As for the volume: 437.8 Å³/cell. Its calculated formation energy is 0.1414 eV per atom. The calculation puts the polymorph energy (0 for the lowest one) at 0.379 eV/atom. The final energy is -150.31 eV/cell.

---

Here is a relaxed AcDy12Tm7 crystal from the Alexandria database. Energies are from PBE.

It has space group R-3 (No. 148, hexagonal axes), with a = 12.0186 Å, b = 12.0186 Å, c = 15.6053 Å, α = 90.00°, β = 90.00° and γ = 120.00°. The inequivalent atoms are Ac at (0.0000, 0.0000, 0.0000), Dy at (0.0083, 0.5684, 0.7150), Dy at (0.0524, 0.4630, 0.0850), Tm at (0.0000, 0.0000, 0.5000) and Tm at (0.0470, 0.8583, 0.7977).

For the size of the total moment, the calculation gives 0.0 μB/cell. As for the volume: 1952.1 Å³/cell. Its calculated formation energy is 0.2418 eV per atom. The calculation puts the polymorph energy (0 for the lowest one) at 0.000 eV/atom. The final energy is -257.39 eV/cell.

---

Here is a relaxed NaHf2Au2 crystal from the Alexandria database. Energies are from PBE.

It has space group P4/mbm (No. 127), with a = 8.282 Å, b = 8.282 Å, c = 3.092 Å, α = 90.00°, β = 90.00° and γ = 90.00°. The inequivalent atoms are Na at (0.000, 0.000, 0.000), Hf at (0.158, 0.342, 0.500) and Au at (0.137, 0.637, 0.000).

For the size of the total moment, the calculation gives 0.0 μB/cell. As for the volume: 212.1 Å³/cell. Its calculated formation energy is -0.2111 eV per atom. The calculation puts the polymorph energy (0 for the lowest one) at 0.000 eV/atom. The final energy is -57.67 eV/cell.